Material: MgOsPb
Method: DFT, PBEsol
State: optimized geometry

Output
Polymorph energy (0 for the lowest one), kJ/mol of formula units: 0
Calculated formation energy, eV per formula unit: 1.7

Lattice parameters (Å, degrees): 4.488 4.488 4.488 60.00 60.00 60.00
Fractional positions:
Mg: 0.500 0.500 0.500
Os: 0.250 0.250 0.250
Pb: 0.000 0.000 0.000